Here is K2NdZn2Se4 after structural relaxation from the Alexandria database. Energies are from PBE.

Values from the calculation:
Total magnetization ... 0.00 μB/atom
ΔE_f (raw) ... -25.16 kcal/mol of atoms
Calculated total energy ... -3.6966 eV/atom

Cell: 4.3139 7.9922 8.2644 Å, 109.83 105.13 90.00°
Last column: nearest neighbours and their distance in Å.
Element x y z (fractional)
1 K 0.1290 0.5577 0.2579  7 Se 3.46-3.63, 1 Zn 3.83
2 K 0.8710 0.4423 0.7421  7 Se 3.46-3.63, 1 Zn 3.83
3 Nd 0.0000 0.0000 0.0000  6 Se 3.00-3.05
4 Zn 0.6774 0.9918 0.3548  4 Se 2.49-2.69
5 Zn 0.3226 0.0082 0.6452  4 Se 2.49-2.69
6 Se 0.2036 0.1776 0.4073  3 Zn 2.57-2.69
7 Se 0.7964 0.8224 0.5927  3 Zn 2.57-2.69
8 Se 0.5245 0.7607 0.0490  1 Zn 2.49
9 Se 0.4755 0.2393 0.9510  1 Zn 2.49